TaSiTe2W, relaxed, DFT GGA-PBE; N(E_F) = 0.98 states/eV per atom; space-group type = No. 123; V = 23.1 A^3/atom; E_tot = -28.69 eV per cell
1.0
-4.455 2.346 -0.384
-2.128 -3.890 0.925
0.150 1.090 4.929
Te W Si Ta
2 1 1 1
Direct
0.000 0.000 0.500
0.500 0.000 0.000
0.000 0.500 0.000
0.000 0.000 0.000
0.500 0.500 0.500